(1)
{
  "formula": "CaThCu4",
  "functional": "PBE-GGA",
  "state": "relaxed",
  "final_energy_ev_per_atom": -4.41,
  "total_magnetization_mub_per_fu": 0.00,
  "spacegroup": "I-4m2 (119)",
  "formation_enthalpy_0k_kj_per_mol_atoms": -10.9,
  "lattice": [[3.8116, 0.0000, -1.1770], [-0.3634, 3.7942, -1.1770], [0.3962, 0.4360, 8.0437]],
  "species": ["Th", "Cu", "Cu", "Cu", "Cu", "Ca"],
  "fractional_positions": [[0.0000, 0.0000, 0.0000], [0.8314, 0.3314, 0.6628], [0.5813, 0.5813, 0.1625], [0.6686, 0.1686, 0.3372], [0.4187, 0.4187, 0.8375], [0.2500, 0.7500, 0.5000]]
}

***

(2)
{
  "formula": "Zr2TaCuRu",
  "functional": "PBE-GGA",
  "state": "relaxed",
  "final_energy_ev_per_atom": -7.59,
  "total_magnetization_mub_per_fu": 0.00,
  "spacegroup": "P4/mmm (123)",
  "formation_enthalpy_0k_kj_per_mol_atoms": 84.4,
  "lattice": [[4.8635, 0.0000, 0.0000], [0.0000, 4.6459, 0.0000], [0.0000, 0.0000, 4.8635]],
  "species": ["Ru", "Cu", "Ta", "Zr", "Zr"],
  "fractional_positions": [[0.0000, 0.0000, 0.0000], [0.0000, 0.5000, 0.0000], [0.5000, 0.5000, 0.5000], [0.5000, 0.0000, 0.0000], [0.0000, 0.0000, 0.5000]]
}

***

(3)
{
  "formula": "LiPm6Ga2",
  "functional": "PBE-GGA",
  "state": "relaxed",
  "final_energy_ev_per_atom": -4.06,
  "total_magnetization_mub_per_fu": 0.00,
  "spacegroup": "C2/m (12)",
  "formation_enthalpy_0k_kj_per_mol_atoms": -0.5,
  "lattice": [[-0.2239, 4.1369, -2.7419], [2.2920, -3.8505, -5.9965], [-8.2523, -1.6764, 2.5948]],
  "species": ["Pm", "Pm", "Pm", "Pm", "Pm", "Pm", "Ga", "Ga", "Li"],
  "fractional_positions": [[0.1686, 0.4226, 0.3367], [0.5000, 0.2643, 0.0000], [0.8314, 0.0859, 0.6633], [0.1686, 0.9141, 0.3367], [0.8314, 0.5774, 0.6633], [0.5000, 0.7357, 0.0000], [0.3328, 0.3329, 0.6659], [0.6672, 0.6671, 0.3341], [0.0000, 0.0000, 0.0000]]
}

***

(4)
{
  "formula": "Rb3CdCo",
  "functional": "PBE-GGA",
  "state": "relaxed",
  "final_energy_ev_per_atom": -1.49,
  "total_magnetization_mub_per_fu": 0.74,
  "spacegroup": "Pm-3m (221)",
  "formation_enthalpy_0k_kj_per_mol_atoms": 66.7,
  "lattice": [[6.6024, 0.0000, 0.0000], [0.0000, 6.6024, 0.0000], [0.0000, 0.0000, 6.6024]],
  "species": ["Rb", "Rb", "Rb", "Cd", "Co"],
  "fractional_positions": [[0.0000, 0.0000, 0.5000], [0.0000, 0.5000, 0.0000], [0.5000, 0.0000, 0.0000], [0.5000, 0.5000, 0.5000], [0.0000, 0.0000, 0.0000]]
}

***

(5)
{
  "formula": "La2Ho12Tm5",
  "functional": "PBE-GGA",
  "state": "relaxed",
  "final_energy_ev_per_atom": -4.45,
  "total_magnetization_mub_per_fu": 0.00,
  "spacegroup": "C2/m (12)",
  "formation_enthalpy_0k_kj_per_mol_atoms": 13.6,
  "lattice": [[-1.3289, 3.5436, 8.3692], [-8.8428, -8.0875, -3.0200], [8.2370, -0.9109, 1.6936]],
  "species": ["Ho", "Ho", "Ho", "Ho", "Ho", "Ho", "Ho", "Ho", "Ho", "Ho", "Ho", "Ho", "Tm", "Tm", "Tm", "Tm", "Tm", "La", "La"],
  "fractional_positions": [[0.4341, 0.2511, 0.6043], [0.3403, 0.3185, 0.0723], [0.8170, 0.2511, 0.6043], [0.5659, 0.7489, 0.3957], [0.4418, 0.8836, 0.2096], [0.0968, 0.1935, 0.3106], [0.9032, 0.8065, 0.6894], [0.1830, 0.7489, 0.3957], [0.9782, 0.3185, 0.0723], [0.6597, 0.6815, 0.9277], [0.0218, 0.6815, 0.9277], [0.5582, 0.1164, 0.7904], [0.7668, 0.5336, 0.1119], [0.6964, 0.3928, 0.3861], [0.0000, 0.0000, 0.5000], [0.3036, 0.6072, 0.6139], [0.2332, 0.4664, 0.8881], [0.6897, 0.0000, 0.0000], [0.3103, 0.0000, 0.0000]]
}

***

(6)
{
  "formula": "Ta2NiRhI",
  "functional": "PBE-GGA",
  "state": "relaxed",
  "formation_energy_uncorrected_ev_per_atom": 1.90,
  "final_energy_ev_per_atom": -5.78,
  "total_magnetization_mub_per_fu": 0.00,
  "spacegroup": "P4/mmm (123)",
  "lattice": [[4.9935, 0.0000, 0.0000], [0.0000, 4.3855, 0.0000], [0.0000, 0.0000, 4.9935]],
  "species": ["Ta", "Ta", "Ni", "Rh", "I"],
  "fractional_positions": [[0.5000, 0.0000, 0.0000], [0.0000, 0.0000, 0.5000], [0.0000, 0.5000, 0.0000], [0.5000, 0.5000, 0.5000], [0.0000, 0.0000, 0.0000]]
}